(1)
NiGeSN2 | PBE | optimized geometry

**ΔE_f (raw)**: 6.5 eV/f.u.
**Electronic total energy**: -4.945 eV per atom
**Symmetry**: P4/mmm, No. 123

a = 3.5551 Å, b = 3.5551 Å, c = 6.1442 Å
α = 90.00°, β = 90.00°, γ = 90.00°
Closest atoms and distances in Å follow each position.
Positions (direct):
Ni: 0.0000 0.0000 0.0000  4 S 2.51
Ge: 0.5000 0.5000 0.5000  4 N 1.78
S: 0.5000 0.5000 0.0000  4 Ni 2.51
N: 0.0000 0.5000 0.5000  2 Ge 1.78
N: 0.5000 0.0000 0.5000  2 Ge 1.78

(2)
Sc2NiGeN | PBE | optimized geometry

**ΔE_f (raw)**: 2.2 eV/f.u.
**Electronic total energy**: -5.828 eV per atom
**Symmetry**: P4/mmm, No. 123

a = 4.7763 Å, b = 4.7763 Å, c = 4.1765 Å
α = 90.00°, β = 90.00°, γ = 90.00°
Closest atoms and distances in Å follow each position.
Positions (direct):
Sc: 0.0000 0.5000 0.0000  2 Ni 2.39
Sc: 0.5000 0.0000 0.0000  2 Ni 2.39
Ni: 0.0000 0.0000 0.0000  2 Ge 2.09
Ge: 0.0000 0.0000 0.5000  2 Ni 2.09
N: 0.5000 0.5000 0.5000  8 Sc 3.17, 4 Ge 3.38

(3)
NiGeSe2N | PBE | optimized geometry

**ΔE_f (raw)**: 2.3 eV/f.u.
**Electronic total energy**: -4.676 eV per atom
**Symmetry**: P4/mmm, No. 123

a = 5.0380 Å, b = 5.0380 Å, c = 3.4317 Å
α = 90.00°, β = 90.00°, γ = 90.00°
Closest atoms and distances in Å follow each position.
Positions (direct):
Ni: 0.0000 0.0000 0.0000  2 N 1.72
Ge: 0.5000 0.5000 0.5000  8 Se 3.05
Se: 0.0000 0.5000 0.0000  2 Ni 2.52
Se: 0.5000 0.0000 0.0000  2 Ni 2.52
N: 0.0000 0.0000 0.5000  2 Ni 1.72

(4)
NiGeSeN2 | PBE | optimized geometry

**ΔE_f (raw)**: 5.7 eV/f.u.
**Electronic total energy**: -4.972 eV per atom
**Symmetry**: P4/mmm, No. 123

a = 3.7870 Å, b = 3.7870 Å, c = 5.0915 Å
α = 90.00°, β = 90.00°, γ = 90.00°
Closest atoms and distances in Å follow each position.
Positions (direct):
Ni: 0.0000 0.0000 0.0000  4 N 1.89
Ge: 0.5000 0.5000 0.5000  4 Se 2.68
Se: 0.0000 0.0000 0.5000  2 Ni 2.55, 4 Ge 2.68
N: 0.0000 0.5000 0.0000  2 Ni 1.89
N: 0.5000 0.0000 0.0000  2 Ni 1.89

(5)
NiGeSeN2 | PBE | optimized geometry

**ΔE_f (raw)**: 6.2 eV/f.u.
**Electronic total energy**: -4.876 eV per atom
**Symmetry**: P4/mmm, No. 123

a = 3.5751 Å, b = 3.5751 Å, c = 6.8574 Å
α = 90.00°, β = 90.00°, γ = 90.00°
Closest atoms and distances in Å follow each position.
Positions (direct):
Ni: 0.0000 0.0000 0.0000  4 Se 2.53
Ge: 0.5000 0.5000 0.5000  4 N 1.79
Se: 0.5000 0.5000 0.0000  4 Ni 2.53
N: 0.0000 0.5000 0.5000  2 Ge 1.79
N: 0.5000 0.0000 0.5000  2 Ge 1.79

(6)
NiGeSe2N | PBE | optimized geometry

**ΔE_f (raw)**: 4.9 eV/f.u.
**Electronic total energy**: -4.167 eV per atom
**Symmetry**: P4/mmm, No. 123

a = 5.1719 Å, b = 5.1719 Å, c = 3.4446 Å
α = 90.00°, β = 90.00°, γ = 90.00°
Closest atoms and distances in Å follow each position.
Positions (direct):
Ni: 0.0000 0.0000 0.0000  8 Se 3.11, 2 Ni 3.44
Ge: 0.5000 0.5000 0.5000  2 N 1.72
Se: 0.0000 0.5000 0.5000  2 Ge 2.59
Se: 0.5000 0.0000 0.5000  2 Ge 2.59
N: 0.5000 0.5000 0.0000  2 Ge 1.72

(7)
SmNi2GeN | PBE | optimized geometry

**ΔE_f (raw)**: -3.7 eV/f.u.
**Electronic total energy**: -6.580 eV per atom
**Symmetry**: Cmcm, No. 63

a = 5.9753 Å, b = 5.9753 Å, c = 6.9778 Å
α = 90.00°, β = 90.00°, γ = 145.54°
Closest atoms and distances in Å follow each position.
Positions (direct):
Sm: 0.0322 0.9678 0.7500  4 N 2.51
Sm: 0.9678 0.0322 0.2500  4 N 2.51
Ni: 0.3360 0.6640 0.5489  1 N 1.90
Ni: 0.3360 0.6640 0.9511  1 N 1.90
Ni: 0.6640 0.3360 0.0489  1 N 1.90
Ni: 0.6640 0.3360 0.4511  1 N 1.90
Ge: 0.2352 0.7648 0.2500  6 Ni 2.38-2.40
Ge: 0.7648 0.2352 0.7500  6 Ni 2.38-2.40
N: 0.5000 0.5000 0.0000  2 Ni 1.90
N: 0.5000 0.5000 0.5000  2 Ni 1.90

(8)
SmNiGeN | PBE | optimized geometry

**ΔE_f (raw)**: -3.4 eV/f.u.
**Electronic total energy**: -6.705 eV per atom
**Symmetry**: P4/nmm, No. 129

a = 3.7347 Å, b = 3.7347 Å, c = 8.7274 Å
α = 90.00°, β = 90.00°, γ = 90.00°
Closest atoms and distances in Å follow each position.
Positions (direct):
Sm: 0.2500 0.2500 0.1468  1 N 2.33
Sm: 0.7500 0.7500 0.8532  1 N 2.33
Ni: 0.2500 0.7500 0.5000  4 Ge 2.33
Ni: 0.7500 0.2500 0.5000  4 Ge 2.33
Ge: 0.2500 0.2500 0.6600  1 N 1.92
Ge: 0.7500 0.7500 0.3400  1 N 1.92
N: 0.2500 0.2500 0.8799  1 Ge 1.92
N: 0.7500 0.7500 0.1201  1 Ge 1.92